1.
VASP calculation (PBE-GGA) on a relaxed Y4CdAg5 crystal.

Cell and atoms, written as CIF:
```
data_Y4CdAg5
_chemical_formula_sum 'Y4 Cd1 Ag5'
_cell_length_a 3.598
_cell_length_b 3.598
_cell_length_c 17.988
_cell_angle_alpha 90.00
_cell_angle_beta 90.00
_cell_angle_gamma 90.00
_symmetry_space_group_name_H-M 'P 4/m m m'
_symmetry_Int_Tables_number 123
_symmetry_space_group_name_Hall '-P 4 2'
loop_
_atom_site_label
_atom_site_fract_x
_atom_site_fract_y
_atom_site_fract_z
Y1 0.000 0.000 0.103
Y2 0.000 0.000 0.310
Cd1 0.000 0.000 0.500
Ag1 0.500 0.500 0.000
Ag2 0.500 0.500 0.207
Ag3 0.500 0.500 0.410
```

Properties
DFT formation energy: -0.28 eV per atom
Electronic total energy: -4.383 eV/atom

2.
VASP calculation (PBE-GGA) on a relaxed AlZn2Co crystal.

Cell and atoms, written as CIF:
```
data_AlZn2Co
_chemical_formula_sum 'Al2 Zn4 Co2'
_cell_length_a 3.696
_cell_length_b 3.696
_cell_length_c 7.663
_cell_angle_alpha 90.00
_cell_angle_beta 90.00
_cell_angle_gamma 90.00
_symmetry_space_group_name_H-M 'I -4 m 2'
_symmetry_Int_Tables_number 119
_symmetry_space_group_name_Hall 'I -4 -2'
loop_
_atom_site_label
_atom_site_fract_x
_atom_site_fract_y
_atom_site_fract_z
Al1 0.000 0.000 0.000
Zn1 0.000 0.000 0.500
Zn2 0.000 0.500 0.250
Co1 0.000 0.500 0.750
```

Properties
DFT formation energy: -0.15 eV per atom
Electronic total energy: -3.501 eV/atom

3.
VASP calculation (PBE-GGA) on a relaxed YAlI crystal.

Cell and atoms, written as CIF:
```
data_YAlI
_chemical_formula_sum 'Y4 Al4 I4'
_cell_length_a 7.421
_cell_length_b 4.285
_cell_length_c 12.435
_cell_angle_alpha 90.00
_cell_angle_beta 101.55
_cell_angle_gamma 90.00
_symmetry_space_group_name_H-M 'C 1 2/m 1'
_symmetry_Int_Tables_number 12
loop_
_symmetry_equiv_pos_as_xyz
'x,y,z'
'-x,-y,-z'
'-x,y,-z'
'x,-y,z'
'x+1/2,y+1/2,z'
'-x+1/2,-y+1/2,-z'
'-x+1/2,y+1/2,-z'
'x+1/2,-y+1/2,z'
loop_
_atom_site_label
_atom_site_fract_x
_atom_site_fract_y
_atom_site_fract_z
Y1 0.057 0.000 0.168
Al1 0.161 0.500 0.984
I1 0.223 0.000 0.671
```

Properties
ΔE_f (raw): -0.91 eV/atom
Electronic total energy: -4.828 eV/atom

4.
VASP calculation (PBE-GGA) on a relaxed Na2Tl4InPb crystal.

Cell and atoms, written as CIF:
```
data_Na2Tl4InPb
_chemical_formula_sum 'Na2 Tl4 In1 Pb1'
_cell_length_a 5.011
_cell_length_b 5.027
_cell_length_c 9.095
_cell_angle_alpha 90.00
_cell_angle_beta 90.46
_cell_angle_gamma 90.00
_symmetry_space_group_name_H-M 'P 1 2/m 1'
_symmetry_Int_Tables_number 10
loop_
_symmetry_equiv_pos_as_xyz
'x,y,z'
'-x,-y,-z'
'-x,y,-z'
'x,-y,z'
loop_
_atom_site_label
_atom_site_fract_x
_atom_site_fract_y
_atom_site_fract_z
Na1 0.000 0.000 0.000
Na2 0.500 0.500 0.500
Tl1 0.000 0.500 0.258
Tl2 0.499 0.000 0.745
In1 0.000 0.000 0.500
Pb1 0.500 0.500 0.000
```

Properties
DFT formation energy: -0.08 eV per atom
Electronic total energy: -2.402 eV/atom

5.
VASP calculation (PBE-GGA) on a relaxed Na2BeW crystal.

Cell and atoms, written as CIF:
```
data_Na2BeW
_chemical_formula_sum 'Na8 Be4 W4'
_cell_length_a 6.826
_cell_length_b 6.826
_cell_length_c 6.826
_cell_angle_alpha 90.00
_cell_angle_beta 90.00
_cell_angle_gamma 90.00
_symmetry_space_group_name_H-M 'F m -3 m'
_symmetry_Int_Tables_number 225
_symmetry_space_group_name_Hall '-F 4 2 3'
loop_
_atom_site_label
_atom_site_fract_x
_atom_site_fract_y
_atom_site_fract_z
Na1 0.250 0.250 0.250
Be1 0.000 0.000 0.000
W1 0.000 0.000 0.500
```

Properties
Distance to the lowest polymorph of the same formula: 0.70 eV per formula unit
DFT formation energy: 1.76 eV per atom
Electronic total energy: -3.065 eV/atom

6.
VASP calculation (PBE-GGA) on a relaxed PmMgBePd crystal.

Cell and atoms, written as CIF:
```
data_PmMgBePd
_chemical_formula_sum 'Pm4 Mg4 Be4 Pd4'
_cell_length_a 6.776
_cell_length_b 6.776
_cell_length_c 6.776
_cell_angle_alpha 90.00
_cell_angle_beta 90.00
_cell_angle_gamma 90.00
_symmetry_space_group_name_H-M 'F -4 3 m'
_symmetry_Int_Tables_number 216
_symmetry_space_group_name_Hall 'F -4 2 3'
loop_
_atom_site_label
_atom_site_fract_x
_atom_site_fract_y
_atom_site_fract_z
Pm1 0.000 0.000 0.000
Mg1 0.000 0.000 0.500
Be1 0.250 0.250 0.750
Pd1 0.250 0.250 0.250
```

Properties
DFT formation energy: -0.23 eV per atom
Electronic total energy: -4.049 eV/atom

7.
VASP calculation (PBE-GGA) on a relaxed Tm2Sc2C2S crystal.

Cell and atoms, written as CIF:
```
data_Tm2Sc2C2S
_chemical_formula_sum 'Tm4 Sc4 C4 S2'
_cell_length_a 12.199
_cell_length_b 3.339
_cell_length_c 7.185
_cell_angle_alpha 90.00
_cell_angle_beta 119.32
_cell_angle_gamma 90.00
_symmetry_space_group_name_H-M 'C 1 2/m 1'
_symmetry_Int_Tables_number 12
loop_
_symmetry_equiv_pos_as_xyz
'x,y,z'
'-x,-y,-z'
'-x,y,-z'
'x,-y,z'
'x+1/2,y+1/2,z'
'-x+1/2,-y+1/2,-z'
'-x+1/2,y+1/2,-z'
'x+1/2,-y+1/2,z'
loop_
_atom_site_label
_atom_site_fract_x
_atom_site_fract_y
_atom_site_fract_z
Tm1 0.018 0.000 0.220
Sc1 0.233 0.500 0.810
C1 0.133 0.500 0.027
S1 0.000 0.500 0.500
```

Properties
ΔE_f (raw): -0.67 eV/atom
Electronic total energy: -6.978 eV/atom

8.
VASP calculation (PBE-GGA) on a relaxed NdGdScCu crystal.

Cell and atoms, written as CIF:
```
data_NdGdScCu
_chemical_formula_sum 'Nd4 Gd4 Sc4 Cu4'
_cell_length_a 7.409
_cell_length_b 7.409
_cell_length_c 7.409
_cell_angle_alpha 90.00
_cell_angle_beta 90.00
_cell_angle_gamma 90.00
_symmetry_space_group_name_H-M 'F -4 3 m'
_symmetry_Int_Tables_number 216
_symmetry_space_group_name_Hall 'F -4 2 3'
loop_
_atom_site_label
_atom_site_fract_x
_atom_site_fract_y
_atom_site_fract_z
Nd1 0.000 0.000 0.000
Gd1 0.000 0.000 0.500
Sc1 0.250 0.250 0.750
Cu1 0.250 0.250 0.250
```

Properties
DFT formation energy: 0.14 eV per atom
Electronic total energy: -7.183 eV/atom

Repeat the sixth record exactly.
VASP calculation (PBE-GGA) on a relaxed PmMgBePd crystal.

Cell and atoms, written as CIF:
```
data_PmMgBePd
_chemical_formula_sum 'Pm4 Mg4 Be4 Pd4'
_cell_length_a 6.776
_cell_length_b 6.776
_cell_length_c 6.776
_cell_angle_alpha 90.00
_cell_angle_beta 90.00
_cell_angle_gamma 90.00
_symmetry_space_group_name_H-M 'F -4 3 m'
_symmetry_Int_Tables_number 216
_symmetry_space_group_name_Hall 'F -4 2 3'
loop_
_atom_site_label
_atom_site_fract_x
_atom_site_fract_y
_atom_site_fract_z
Pm1 0.000 0.000 0.000
Mg1 0.000 0.000 0.500
Be1 0.250 0.250 0.750
Pd1 0.250 0.250 0.250
```

Properties
DFT formation energy: -0.23 eV per atom
Electronic total energy: -4.049 eV/atom

Please write out number 4 again, unchanged.
VASP calculation (PBE-GGA) on a relaxed Na2Tl4InPb crystal.

Cell and atoms, written as CIF:
```
data_Na2Tl4InPb
_chemical_formula_sum 'Na2 Tl4 In1 Pb1'
_cell_length_a 5.011
_cell_length_b 5.027
_cell_length_c 9.095
_cell_angle_alpha 90.00
_cell_angle_beta 90.46
_cell_angle_gamma 90.00
_symmetry_space_group_name_H-M 'P 1 2/m 1'
_symmetry_Int_Tables_number 10
loop_
_symmetry_equiv_pos_as_xyz
'x,y,z'
'-x,-y,-z'
'-x,y,-z'
'x,-y,z'
loop_
_atom_site_label
_atom_site_fract_x
_atom_site_fract_y
_atom_site_fract_z
Na1 0.000 0.000 0.000
Na2 0.500 0.500 0.500
Tl1 0.000 0.500 0.258
Tl2 0.499 0.000 0.745
In1 0.000 0.000 0.500
Pb1 0.500 0.500 0.000
```

Properties
DFT formation energy: -0.08 eV per atom
Electronic total energy: -2.402 eV/atom

Which value of electronic total energy does entry 3 give? -4.828 eV/atom

What is the formula in the sixth record? PmMgBePd